[1]
Here is an optimized crystal structure of TbGeCl2 from the Alexandria database. Energies are from PBE.

It has space group R-3m (No. 166, hexagonal axes), with a = 3.5464 Å, b = 3.5464 Å, c = 29.7057 Å, α = 90.00°, β = 90.00° and γ = 120.00°. The distinct sites, in fractional coordinates, are Tb at (0.0000, 0.0000, 0.0000), Ge at (0.0000, 0.0000, 0.5000) and Cl at (0.0000, 0.0000, 0.0865).

The density of states at the Fermi level comes out at 4.5 states/eV per cell. For the volume, the calculation gives 323.6 Å³/cell. As for the final energy: -45.8 eV for the cell shown. As for the formation energy (no corrections): -0.581 eV per atom.

[2]
Here is an optimized crystal structure of Cs2Th2Te6Pb from the Alexandria database. Energies are from PBE.

It has space group C2/m (No. 12), with a = 8.008 Å, b = 13.943 Å, c = 9.477 Å, α = 90.00°, β = 105.64° and γ = 90.00°. The distinct sites, in fractional coordinates, are Cs at (0.000, 0.161, 0.000), Th at (0.000, 0.333, 0.500), Te at (0.211, 0.500, 0.693), Te at (0.235, 0.174, 0.692) and Pb at (0.000, 0.000, 0.500).

The density of states at the Fermi level comes out at 0.0 states/eV per cell. For the volume, the calculation gives 1019.0 Å³/cell. As for the final energy: -102.8 eV for the cell shown. As for the formation energy (no corrections): -1.116 eV per atom.

[3]
Here is an optimized crystal structure of AsOs2Rh from the Alexandria database. Energies are from PBE.

It has space group F-43m (No. 216), with a = 6.217 Å, b = 6.217 Å, c = 6.217 Å, α = 90.00°, β = 90.00° and γ = 90.00°. The distinct sites, in fractional coordinates, are As at (0.000, 0.000, 0.000), Os at (0.000, 0.000, 0.500), Os at (0.250, 0.250, 0.750) and Rh at (0.250, 0.250, 0.250).

The density of states at the Fermi level comes out at 19.9 states/eV per cell. For the volume, the calculation gives 240.3 Å³/cell. As for the final energy: -128.2 eV for the cell shown. The energy of formation comes out at 601 meV per atom.

[4]
Here is an optimized crystal structure of SmMg2Au4 from the Alexandria database. Energies are from PBE.

It has space group I4/mmm (No. 139), with a = 7.087 Å, b = 7.087 Å, c = 5.588 Å, α = 90.00°, β = 90.00° and γ = 90.00°. The distinct sites, in fractional coordinates, are Sm at (0.000, 0.000, 0.000), Mg at (0.000, 0.500, 0.250) and Au at (0.200, 0.200, 0.500).

The density of states at the Fermi level comes out at 6.8 states/eV per cell. For the volume, the calculation gives 280.6 Å³/cell. As for the final energy: -51.7 eV for the cell shown. The energy of formation comes out at -688 meV per atom.

[5]
Here is an optimized crystal structure of CrP2HS from the Alexandria database. Energies are from PBE.

It has space group P4/mmm (No. 123), with a = 3.551 Å, b = 3.551 Å, c = 5.282 Å, α = 90.00°, β = 90.00° and γ = 90.00°. The distinct sites, in fractional coordinates, are Cr at (0.000, 0.000, 0.000), P at (0.000, 0.500, 0.500), H at (0.500, 0.500, 0.500) and S at (0.500, 0.500, 0.000).

As for the excess energy over the best structure of this formula in the dataset: 0 meV per atom. The density of states at the Fermi level comes out at 3.0 states/eV per cell. For the volume, the calculation gives 66.6 Å³/cell. As for the final energy: -25.2 eV for the cell shown.

[6]
Here is an optimized crystal structure of Li2YTe from the Alexandria database. Energies are from PBE.

It has space group P4mm (No. 99), with a = 3.859 Å, b = 3.859 Å, c = 6.642 Å, α = 90.00°, β = 90.00° and γ = 90.00°. The distinct sites, in fractional coordinates, are Li at (0.000, 0.000, 0.000), Li at (0.500, 0.500, 0.185), Y at (0.500, 0.500, 0.679) and Te at (0.000, 0.000, 0.442).

As for the excess energy over the best structure of this formula in the dataset: 47 meV per atom. The density of states at the Fermi level comes out at 2.8 states/eV per cell. For the volume, the calculation gives 98.9 Å³/cell. As for the final energy: -15.6 eV for the cell shown. As for the formation energy (no corrections): -0.541 eV per atom.

[7]
Here is an optimized crystal structure of TbTmMgRh from the Alexandria database. Energies are from PBE.

It has space group F-43m (No. 216), with a = 7.112 Å, b = 7.112 Å, c = 7.112 Å, α = 90.00°, β = 90.00° and γ = 90.00°. The distinct sites, in fractional coordinates, are Tb at (0.000, 0.000, 0.000), Tm at (0.000, 0.000, 0.500), Mg at (0.250, 0.250, 0.750) and Rh at (0.250, 0.250, 0.250).

The density of states at the Fermi level comes out at 6.8 states/eV per cell. For the volume, the calculation gives 359.7 Å³/cell. As for the final energy: -79.0 eV for the cell shown. The energy of formation comes out at -423 meV per atom.

[8]
Here is an optimized crystal structure of AsWAuBr2 from the Alexandria database. Energies are from PBE.

It has space group P4/mmm (No. 123), with a = 5.028 Å, b = 5.028 Å, c = 4.992 Å, α = 90.00°, β = 90.00° and γ = 90.00°. The distinct sites, in fractional coordinates, are As at (0.000, 0.000, 0.000), W at (0.000, 0.000, 0.500), Au at (0.500, 0.500, 0.000) and Br at (0.000, 0.500, 0.500).

As for the excess energy over the best structure of this formula in the dataset: 0 meV per atom. The density of states at the Fermi level comes out at 4.5 states/eV per cell. For the volume, the calculation gives 126.2 Å³/cell. As for the final energy: -20.8 eV for the cell shown. As for the formation energy (no corrections): 0.680 eV per atom.